No. 1
PBE Y2CuPt, relaxed; energy relative to the elements = 394 meV/atom; E = -5.37 eV per atom; magnetization = 0.00 μB per formula unit; symmetry = Immm (71)
1.0
-5.757 -2.130 -1.373
5.515 -1.426 -2.667
5.271 -0.172 3.427
Y Cu Pt
2 1 1
direct
0.000 0.254 0.254
0.000 0.746 0.746
0.000 0.000 0.000
0.000 0.500 0.500


No. 2
PBE Y2CuPt, relaxed; energy relative to the elements = -497 meV/atom; E = -6.26 eV per atom; magnetization = 0.00 μB per formula unit; symmetry = P4mm (99)
1.0
-3.016 1.810 -0.629
0.462 -0.449 -3.515
-3.752 -6.149 0.293
Cu Pt Y
1 1 2
direct
0.000 0.000 0.530
0.500 0.500 0.723
0.000 0.000 0.924
0.500 0.500 0.324


No. 3
PBE Y2CuPt, relaxed; energy relative to the elements = -742 meV/atom; E = -6.51 eV per atom; magnetization = 0.00 μB per formula unit; symmetry = P4/mmm (123)
1.0
-4.390 0.194 2.254
-0.761 -4.761 -1.071
1.508 -0.921 3.018
Y Pt Cu
2 1 1
direct
0.000 0.000 0.000
0.500 0.500 0.000
0.000 0.500 0.500
0.500 0.000 0.500


No. 4
PBE YCuPt2, relaxed; energy relative to the elements = -746 meV/atom; E = -6.41 eV per atom; magnetization = 0.00 μB per formula unit; symmetry = I-4m2 (119)
1.0
-3.912 -2.606 2.059
-0.344 -3.576 3.664
-1.194 1.482 3.551
Y Cu Pt
1 1 2
direct
0.500 0.500 0.500
0.250 0.250 0.250
0.000 0.000 0.000
0.750 0.750 0.750